First-principles (PBE+U) data for a relaxed CoBPO crystal, as listed in OQMD via LeMat-Bulk.

Cell lengths 3.316, 3.316, 7.713 Å; angles 90.00, 90.00, 90.00 degrees
Element x y z (fractional)
Co 0.250 0.750 0.000
Co 0.750 0.250 0.000
B 0.250 0.250 0.424
B 0.750 0.750 0.576
P 0.250 0.250 0.172
P 0.750 0.750 0.828
O 0.250 0.750 0.500
O 0.750 0.250 0.500

Summary:
For the final energy, the calculation gives -5.819 eV/atom.